Entry 1:
This record from the Alexandria database describes a relaxed structure of Rb2BaTbF8. The functional is PBE.

Cell lengths 7.4369, 7.4369, 7.4369 Å; angles 130.03, 130.03, 73.35 degrees
Sites, in units of the cell vectors:
Rb1 0.0000 0.0000 0.0000
Rb2 0.7500 0.2500 0.5000
Ba1 0.5000 0.5000 0.0000
Tb1 0.2500 0.7500 0.5000
F1 0.1596 0.0855 0.5183
F2 0.1596 0.6413 0.0741
F3 0.3587 0.4328 0.5183
F4 0.3587 0.8404 0.9259
F5 0.5672 0.0855 0.9259
F6 0.5672 0.6413 0.4817
F7 0.9145 0.4328 0.0741
F8 0.9145 0.8404 0.4817

Summary:
Total magnetic moment (μB per cell): 1.133
SG: I-4m2 (119)
Formation energy without anion corrections (kJ per mole of atoms): -314.47
Crystal system: tetragonal

Entry 2:
This record from the Alexandria database describes a relaxed structure of RbBa2TcF. The functional is PBE.

Cell lengths 5.7346, 5.7346, 6.2983 Å; angles 90.00, 90.00, 90.00 degrees
Sites, in units of the cell vectors:
Rb1 0.0000 0.0000 0.0000
Ba1 0.0000 0.5000 0.5000
Ba2 0.5000 0.0000 0.5000
Tc1 0.0000 0.0000 0.5000
F1 0.5000 0.5000 0.0000

Summary:
Total magnetic moment (μB per cell): 0.002
SG: P4/mmm (123)
Formation energy without anion corrections (kJ per mole of atoms): 3.29
Crystal system: tetragonal

Entry 3:
This record from the Alexandria database describes a relaxed structure of Rb2BaTcF6. The functional is PBE.

Cell lengths 6.6161, 6.6161, 6.6161 Å; angles 60.00, 60.00, 60.00 degrees
Sites, in units of the cell vectors:
Rb1 0.2500 0.2500 0.2500
Rb2 0.7500 0.7500 0.7500
Ba1 0.0000 0.0000 0.0000
Tc1 0.5000 0.5000 0.5000
F1 0.2706 0.2706 0.7294
F2 0.2706 0.7294 0.2706
F3 0.2706 0.7294 0.7294
F4 0.7294 0.2706 0.2706
F5 0.7294 0.2706 0.7294
F6 0.7294 0.7294 0.2706

Summary:
Total magnetic moment (μB per cell): 1.000
SG: Fm-3m (225)
Formation energy without anion corrections (kJ per mole of atoms): -239.54
Crystal system: cubic

What did the second record say?
This record from the Alexandria database describes a relaxed structure of RbBa2TcF. The functional is PBE.

Cell lengths 5.7346, 5.7346, 6.2983 Å; angles 90.00, 90.00, 90.00 degrees
Sites, in units of the cell vectors:
Rb1 0.0000 0.0000 0.0000
Ba1 0.0000 0.5000 0.5000
Ba2 0.5000 0.0000 0.5000
Tc1 0.0000 0.0000 0.5000
F1 0.5000 0.5000 0.0000

Summary:
Total magnetic moment (μB per cell): 0.002
SG: P4/mmm (123)
Formation energy without anion corrections (kJ per mole of atoms): 3.29
Crystal system: tetragonal

Q: Which of these has the lowest formation energy without anion corrections?
A: Rb2BaTbF8

Q: formation energy without anion corrections of number 3 (Rb2BaTcF6)?
A: -239.54 kJ per mole of atoms

Q: total magnetic moment of number 2 (RbBa2TcF)?
A: 0.002 μB per cell